This record from Alexandria describes a relaxed ScAlRu2 crystal. The functional is PBE-GGA.

abc: 10.186 3.097 4.260
angles: 90.00 114.46 90.00
Space group Cm (No. 8)
One atom of each set of equivalent atoms:
Sc1 0.000 0.000 0.000 [2 per cell]
Al1 0.227 0.000 0.722 [2 per cell]
Ru1 0.255 0.500 0.250 [2 per cell]
Ru2 0.491 0.000 0.492 [2 per cell]

* magnetization: 0.00 μB/cell
* energy: -61.53 eV/cell
* calculated formation energy: -535 meV per atom

---

This record from Alexandria describes a relaxed PaSn2Hg crystal. The functional is PBE-GGA.

abc: 3.888 3.888 6.755
angles: 90.00 90.00 90.00
Space group P4/mmm (No. 123)
One atom of each set of equivalent atoms:
Pa1 0.000 0.000 0.000 [1 per cell]
Sn1 0.500 0.500 0.267 [2 per cell]
Hg1 0.000 0.000 0.500 [1 per cell]

* magnetization: 0.66 μB/cell
* energy above the lowest structure with this stoichiometry: 251 meV per atom
* energy: -17.73 eV/cell
* calculated formation energy: 18 meV per atom

---

This record from Alexandria describes a relaxed AcSnPb2O6 crystal. The functional is PBE-GGA.

abc: 5.846 6.406 10.438
angles: 90.00 123.71 90.00
Space group P2_1/c (No. 14)
One atom of each set of equivalent atoms:
Ac1 0.000 0.000 0.000 [2 per cell]
Sn1 0.500 0.000 0.500 [2 per cell]
Pb1 0.220 0.037 0.729 [4 per cell]
O1 0.154 0.161 0.463 [4 per cell]
O2 0.245 0.729 0.412 [4 per cell]
O3 0.406 0.079 0.277 [4 per cell]

* magnetization: 0.00 μB/cell
* raw formation energy: -1.715 eV/atom
* energy: -124.85 eV/cell

---

This record from Alexandria describes a relaxed Na2BePO4 crystal. The functional is PBE-GGA.

abc: 5.106 5.106 7.413
angles: 90.00 90.00 90.00
Space group I-4 (No. 82)
One atom of each set of equivalent atoms:
Na1 0.000 0.000 0.000 [2 per cell]
Na2 0.000 0.500 0.250 [2 per cell]
Be1 0.000 0.000 0.500 [2 per cell]
P1 0.000 0.500 0.750 [2 per cell]
O1 0.080 0.740 0.629 [8 per cell]

* magnetization: 0.00 μB/cell
* raw formation energy: -1.887 eV/atom
* energy: -93.41 eV/cell

---

This record from Alexandria describes a relaxed LaMoP2 crystal. The functional is PBE-GGA.

abc: 3.1552 3.1552 26.0316
angles: 90.00 90.00 120.00
Space group R3m (No. 160, hexagonal axes)
One atom of each set of equivalent atoms:
La1 0.0000 0.0000 0.0000 [3 per cell]
Mo1 0.0000 0.0000 0.7756 [3 per cell]
P1 0.0000 0.0000 0.2382 [3 per cell]
P2 0.0000 0.0000 0.5052 [3 per cell]

* magnetization: 0.00 μB/cell
* energy above the lowest structure with this stoichiometry: 1043 meV per atom
* energy: -77.34 eV/cell
* calculated formation energy: 199 meV per atom

---

This record from Alexandria describes a relaxed ZrCdOs2 crystal. The functional is PBE-GGA.

abc: 4.168 4.168 3.926
angles: 90.00 90.00 90.00
Space group P4/mmm (No. 123)
One atom of each set of equivalent atoms:
Zr1 0.000 0.000 0.000 [1 per cell]
Cd1 0.500 0.500 0.000 [1 per cell]
Os1 0.000 0.500 0.500 [2 per cell]

* magnetization: 0.01 μB/cell
* energy: -31.22 eV/cell
* calculated formation energy: 176 meV per atom

---

This record from Alexandria describes a relaxed Ca3CuPt2 crystal. The functional is PBE-GGA.

abc: 11.536 4.303 11.293
angles: 90.00 90.00 90.00
Space group Pnma (No. 62)
One atom of each set of equivalent atoms:
Ca1 0.049 0.250 0.121 [4 per cell]
Ca2 0.120 0.750 0.561 [4 per cell]
Ca3 0.209 0.250 0.805 [4 per cell]
Cu1 0.128 0.250 0.372 [4 per cell]
Pt1 0.023 0.750 0.311 [4 per cell]
Pt2 0.193 0.750 0.002 [4 per cell]

* magnetization: 0.00 μB/cell
* energy: -105.63 eV/cell
* calculated formation energy: -704 meV per atom

---

This record from Alexandria describes a relaxed KRb2H6Pt crystal. The functional is PBE-GGA.

abc: 6.0460 6.0460 6.9745
angles: 90.00 90.00 120.00
Space group P-3m1 (No. 164)
One atom of each set of equivalent atoms:
K1 0.0000 0.0000 0.0000 [1 per cell]
Rb1 0.3333 0.6667 0.6558 [2 per cell]
H1 0.1290 0.2580 0.3606 [6 per cell]
Pt1 0.0000 0.0000 0.5000 [1 per cell]

* magnetization: 0.81 μB/cell
* energy: -32.40 eV/cell

---

This record from Alexandria describes a relaxed MgHgPd3 crystal. The functional is PBE-GGA.

abc: 4.653 4.653 4.653
angles: 90.00 90.00 90.00
Space group Pm-3m (No. 221)
One atom of each set of equivalent atoms:
Mg1 0.000 0.000 0.000 [1 per cell]
Hg1 0.500 0.500 0.500 [1 per cell]
Pd1 0.000 0.000 0.500 [3 per cell]

* magnetization: 0.00 μB/cell
* energy above the lowest structure with this stoichiometry: 732 meV per atom
* energy: -15.87 eV/cell
* calculated formation energy: 321 meV per atom

---

This record from Alexandria describes a relaxed La6SmHo2Er crystal. The functional is PBE-GGA.

abc: 11.431 7.063 9.092
angles: 90.00 104.76 90.00
Space group C2/m (No. 12)
One atom of each set of equivalent atoms:
La1 0.134 0.000 0.430 [4 per cell]
La2 0.187 0.278 0.808 [8 per cell]
Sm1 0.000 0.500 0.500 [2 per cell]
Ho1 0.082 0.500 0.167 [4 per cell]
Er1 0.000 0.000 0.000 [2 per cell]

* magnetization: 0.00 μB/cell
* energy: -92.10 eV/cell
* calculated formation energy: 195 meV per atom

---

This record from Alexandria describes a relaxed Sm4ScAl2 crystal. The functional is PBE-GGA.

abc: 5.3858 5.3858 25.8044
angles: 90.00 90.00 120.00
Space group R-3m (No. 166, hexagonal axes)
One atom of each set of equivalent atoms:
Sm1 0.0000 0.0000 0.1256 [6 per cell]
Sm2 0.0000 0.0000 0.2753 [6 per cell]
Sc1 0.0000 0.0000 0.5000 [3 per cell]
Al1 0.0000 0.0000 0.3944 [6 per cell]

* magnetization: 4.29 μB/cell
* energy above the lowest structure with this stoichiometry: 242 meV per atom
* energy: -96.32 eV/cell
* calculated formation energy: 84 meV per atom

---

This record from Alexandria describes a relaxed InHIrRh2 crystal. The functional is PBE-GGA.

abc: 4.033 4.033 3.984
angles: 90.00 90.00 90.00
Space group P4/mmm (No. 123)
One atom of each set of equivalent atoms:
In1 0.000 0.000 0.000 [1 per cell]
H1 0.500 0.500 0.500 [1 per cell]
Ir1 0.500 0.500 0.000 [1 per cell]
Rh1 0.000 0.500 0.500 [2 per cell]

* magnetization: 0.00 μB/cell
* energy: -30.15 eV/cell